# 1
## MnSbPO2 (PBE+U)

Data for an optimized crystal structure of MnSbPO2.

ΔE to the lowest computed polymorph (eV per atom): 0.000
Total moment (μB per cell): 4.7
Crystal system: tetragonal
Mass density (g cm⁻³): 4.836
Electronic total energy (eV/atom): -5.86

Cell and atoms, written as CIF:
```
data_MnSbPO2
_chemical_formula_sum 'Mn1 Sb1 P1 O2'
_symmetry_space_group_name_H-M 'P 4/m m m'
_symmetry_Int_Tables_number 123
_symmetry_space_group_name_Hall '-P 4 2'
_cell_length_a 3.930
_cell_length_b 3.930
_cell_length_c 5.327
_cell_angle_alpha 90.00
_cell_angle_beta 90.00
_cell_angle_gamma 90.00
loop_
_atom_site_label
_atom_site_type_symbol
_atom_site_fract_x
_atom_site_fract_y
_atom_site_fract_z
Mn1 Mn 0.000 0.000 0.000
Sb1 Sb 0.500 0.500 0.500
P1 P 0.500 0.500 0.000
O1 O 0.000 0.500 0.500
```

=====

# 2
## MnSb3P6O24 (PBE+U)

Data for an optimized crystal structure of MnSb3P6O24.

Total moment (μB per cell): 12.0
Crystal system: trigonal
Mass density (g cm⁻³): 3.564
Electronic total energy (eV/atom): -6.90

Cell and atoms, written as CIF:
```
data_MnSb3P6O24
_chemical_formula_sum 'Mn3 Sb9 P18 O72'
_symmetry_space_group_name_H-M 'R 3'
_symmetry_Int_Tables_number 146
_symmetry_space_group_name_Hall 'R 3'
_cell_length_a 8.4219
_cell_length_b 8.4219
_cell_length_c 22.5289
_cell_angle_alpha 90.00
_cell_angle_beta 90.00
_cell_angle_gamma 120.00
loop_
_atom_site_label
_atom_site_type_symbol
_atom_site_fract_x
_atom_site_fract_y
_atom_site_fract_z
Mn1 Mn 0.0000 0.0000 0.0000
Sb1 Sb 0.0000 0.0000 0.2090
Sb2 Sb 0.0000 0.0000 0.4955
Sb3 Sb 0.0000 0.0000 0.7035
P1 P 0.0021 0.2864 0.1009
P2 P 0.0472 0.6682 0.2699
O1 O 0.0341 0.2036 0.4434
O2 O 0.0796 0.2181 0.7551
O3 O 0.0818 0.2233 0.0526
O4 O 0.1399 0.6739 0.2095
O5 O 0.1443 0.4570 0.8286
O6 O 0.1631 0.6903 0.9308
O7 O 0.1901 0.7524 0.6160
O8 O 0.1981 0.7539 0.3196
```

=====

# 3
## MnSb3P4O16 (PBE+U)

Data for an optimized crystal structure of MnSb3P4O16.

Total moment (μB per cell): 4.4
Crystal system: monoclinic
Mass density (g cm⁻³): 4.013
Electronic total energy (eV/atom): -6.87

Cell and atoms, written as CIF:
```
data_MnSb3P4O16
_chemical_formula_sum 'Mn1 Sb3 P4 O16'
_symmetry_space_group_name_H-M 'P 1 m 1'
_symmetry_Int_Tables_number 6
_cell_length_a 4.892
_cell_length_b 6.726
_cell_length_c 10.072
_cell_angle_alpha 90.00
_cell_angle_beta 92.51
_cell_angle_gamma 90.00
loop_
_symmetry_equiv_pos_as_xyz
'x,y,z'
'x,-y,z'
loop_
_atom_site_label
_atom_site_type_symbol
_atom_site_fract_x
_atom_site_fract_y
_atom_site_fract_z
Mn1 Mn 0.000 0.000 0.000
Sb1 Sb 0.304 0.000 0.479
Sb2 Sb 0.508 0.500 0.075
Sb3 Sb 0.797 0.500 0.568
P1 P 0.063 0.500 0.884
P2 P 0.220 0.500 0.367
P3 P 0.563 0.000 0.185
P4 P 0.758 0.000 0.683
O1 O 0.063 0.000 0.650
O2 O 0.085 0.323 0.445
O3 O 0.114 0.500 0.735
O4 O 0.148 0.500 0.217
O5 O 0.211 0.320 0.958
O6 O 0.251 0.000 0.169
O7 O 0.534 0.500 0.385
O8 O 0.597 0.177 0.609
O9 O 0.649 0.000 0.335
O10 O 0.694 0.181 0.111
O11 O 0.738 0.000 0.832
O12 O 0.750 0.500 0.904
```

=====

# 4
## MnSbP2O (PBE+U)

Data for an optimized crystal structure of MnSbP2O.

ΔE to the lowest computed polymorph (eV per atom): 0.041
Total moment (μB per cell): 0.0
Crystal system: tetragonal
Mass density (g cm⁻³): 5.350
Electronic total energy (eV/atom): -5.06

Cell and atoms, written as CIF:
```
data_MnSbP2O
_chemical_formula_sum 'Mn1 Sb1 P2 O1'
_symmetry_space_group_name_H-M 'P 4/m m m'
_symmetry_Int_Tables_number 123
_symmetry_space_group_name_Hall '-P 4 2'
_cell_length_a 4.775
_cell_length_b 4.775
_cell_length_c 3.467
_cell_angle_alpha 90.00
_cell_angle_beta 90.00
_cell_angle_gamma 90.00
loop_
_atom_site_label
_atom_site_type_symbol
_atom_site_fract_x
_atom_site_fract_y
_atom_site_fract_z
Mn1 Mn 0.000 0.000 0.000
Sb1 Sb 0.500 0.500 0.500
P1 P 0.000 0.500 0.000
O1 O 0.000 0.000 0.500
```

=====

# 5
## MnSbPO2 (PBE+U)

Data for an optimized crystal structure of MnSbPO2.

ΔE to the lowest computed polymorph (eV per atom): 0.069
Total moment (μB per cell): 3.2
Crystal system: tetragonal
Mass density (g cm⁻³): 5.474
Electronic total energy (eV/atom): -5.79

Cell and atoms, written as CIF:
```
data_MnSbPO2
_chemical_formula_sum 'Mn1 Sb1 P1 O2'
_symmetry_space_group_name_H-M 'P 4/m m m'
_symmetry_Int_Tables_number 123
_symmetry_space_group_name_Hall '-P 4 2'
_cell_length_a 3.857
_cell_length_b 3.857
_cell_length_c 4.887
_cell_angle_alpha 90.00
_cell_angle_beta 90.00
_cell_angle_gamma 90.00
loop_
_atom_site_label
_atom_site_type_symbol
_atom_site_fract_x
_atom_site_fract_y
_atom_site_fract_z
Mn1 Mn 0.000 0.000 0.000
Sb1 Sb 0.500 0.500 0.500
P1 P 0.000 0.000 0.500
O1 O 0.000 0.500 0.000
```

=====

# 6
## MnSbP2O (PBE+U)

Data for an optimized crystal structure of MnSbP2O.

ΔE to the lowest computed polymorph (eV per atom): 0.000
Total moment (μB per cell): 4.0
Crystal system: tetragonal
Mass density (g cm⁻³): 4.121
Electronic total energy (eV/atom): -5.10

Cell and atoms, written as CIF:
```
data_MnSbP2O
_chemical_formula_sum 'Mn1 Sb1 P2 O1'
_symmetry_space_group_name_H-M 'P 4/m m m'
_symmetry_Int_Tables_number 123
_symmetry_space_group_name_Hall '-P 4 2'
_cell_length_a 5.120
_cell_length_b 5.120
_cell_length_c 3.914
_cell_angle_alpha 90.00
_cell_angle_beta 90.00
_cell_angle_gamma 90.00
loop_
_atom_site_label
_atom_site_type_symbol
_atom_site_fract_x
_atom_site_fract_y
_atom_site_fract_z
Mn1 Mn 0.000 0.000 0.000
Sb1 Sb 0.500 0.500 0.500
P1 P 0.000 0.500 0.500
O1 O 0.500 0.500 0.000
```

=====

# 7
## Mn2V3SbP6O24 (PBE+U)

Data for an optimized crystal structure of Mn2V3SbP6O24.

Total moment (μB per cell): 48.0
Crystal system: trigonal
Mass density (g cm⁻³): 3.394
Electronic total energy (eV/atom): -7.45

Cell and atoms, written as CIF:
```
data_Mn2V3SbP6O24
_chemical_formula_sum 'Mn6 V9 Sb3 P18 O72'
_symmetry_space_group_name_H-M 'R 3'
_symmetry_Int_Tables_number 146
_symmetry_space_group_name_Hall 'R 3'
_cell_length_a 8.6804
_cell_length_b 8.6804
_cell_length_c 21.4671
_cell_angle_alpha 90.00
_cell_angle_beta 90.00
_cell_angle_gamma 120.00
loop_
_atom_site_label
_atom_site_type_symbol
_atom_site_fract_x
_atom_site_fract_y
_atom_site_fract_z
Mn1 Mn 0.0000 0.0000 0.0000
Mn2 Mn 0.0000 0.0000 0.4960
V1 V 0.0000 0.0000 0.1399
V2 V 0.0000 0.0000 0.3515
V3 V 0.0000 0.0000 0.6390
Sb1 Sb 0.0000 0.0000 0.8514
P1 P 0.0023 0.7093 0.2447
P2 P 0.0401 0.3707 0.4113
O1 O 0.0013 0.8028 0.1854
O2 O 0.0175 0.1834 0.4185
O3 O 0.0232 0.8416 0.9158
O4 O 0.1364 0.4663 0.4740
O5 O 0.1386 0.6731 0.9709
O6 O 0.1461 0.4711 0.3550
O7 O 0.1598 0.6735 0.2408
O8 O 0.1681 0.4785 0.7409
```

=====

# 8
## MnV3Sb2P6O24 (PBE+U)

Data for an optimized crystal structure of MnV3Sb2P6O24.

Total moment (μB per cell): 30.0
Crystal system: trigonal
Mass density (g cm⁻³): 3.477
Electronic total energy (eV/atom): -7.29

Cell and atoms, written as CIF:
```
data_MnV3Sb2P6O24
_chemical_formula_sum 'Mn3 V9 Sb6 P18 O72'
_symmetry_space_group_name_H-M 'R 3'
_symmetry_Int_Tables_number 146
_symmetry_space_group_name_Hall 'R 3'
_cell_length_a 8.7173
_cell_length_b 8.7173
_cell_length_c 22.2306
_cell_angle_alpha 90.00
_cell_angle_beta 90.00
_cell_angle_gamma 120.00
loop_
_atom_site_label
_atom_site_type_symbol
_atom_site_fract_x
_atom_site_fract_y
_atom_site_fract_z
Mn1 Mn 0.0000 0.0000 0.0000
V1 V 0.0000 0.0000 0.3005
V2 V 0.0000 0.0000 0.5012
V3 V 0.0000 0.0000 0.8008
Sb1 Sb 0.0000 0.0000 0.1434
Sb2 Sb 0.0000 0.0000 0.6379
P1 P 0.0019 0.7103 0.4053
P2 P 0.0390 0.3711 0.5727
O1 O 0.0026 0.8057 0.3478
O2 O 0.0045 0.1982 0.8497
O3 O 0.0059 0.8131 0.4630
O4 O 0.0382 0.8436 0.0775
O5 O 0.1384 0.4318 0.6315
O6 O 0.1598 0.6782 0.4057
O7 O 0.1654 0.4976 0.2339
O8 O 0.1667 0.4807 0.9068
```

=====

# 9
## MnP2SeO (PBE+U)

Data for an optimized crystal structure of MnP2SeO.

ΔE to the lowest computed polymorph (eV per atom): 0.004
Total moment (μB per cell): 4.2
Crystal system: tetragonal
Mass density (g cm⁻³): 3.932
Electronic total energy (eV/atom): -4.86

Cell and atoms, written as CIF:
```
data_MnP2SeO
_chemical_formula_sum 'Mn1 P2 Se1 O1'
_symmetry_space_group_name_H-M 'P 4/m m m'
_symmetry_Int_Tables_number 123
_symmetry_space_group_name_Hall '-P 4 2'
_cell_length_a 4.922
_cell_length_b 4.922
_cell_length_c 3.692
_cell_angle_alpha 90.00
_cell_angle_beta 90.00
_cell_angle_gamma 90.00
loop_
_atom_site_label
_atom_site_type_symbol
_atom_site_fract_x
_atom_site_fract_y
_atom_site_fract_z
Mn1 Mn 0.000 0.000 0.000
P1 P 0.000 0.500 0.500
Se1 Se 0.500 0.500 0.500
O1 O 0.500 0.500 0.000
```

=====

# 10
## MnP2SeO (PBE+U)

Data for an optimized crystal structure of MnP2SeO.

ΔE to the lowest computed polymorph (eV per atom): 0.000
Total moment (μB per cell): 0.1
Crystal system: tetragonal
Mass density (g cm⁻³): 4.723
Electronic total energy (eV/atom): -4.86

Cell and atoms, written as CIF:
```
data_MnP2SeO
_chemical_formula_sum 'Mn1 P2 Se1 O1'
_symmetry_space_group_name_H-M 'P 4/m m m'
_symmetry_Int_Tables_number 123
_symmetry_space_group_name_Hall '-P 4 2'
_cell_length_a 4.641
_cell_length_b 4.641
_cell_length_c 3.459
_cell_angle_alpha 90.00
_cell_angle_beta 90.00
_cell_angle_gamma 90.00
loop_
_atom_site_label
_atom_site_type_symbol
_atom_site_fract_x
_atom_site_fract_y
_atom_site_fract_z
Mn1 Mn 0.000 0.000 0.000
P1 P 0.000 0.500 0.000
Se1 Se 0.500 0.500 0.500
O1 O 0.000 0.000 0.500
```

=====

# 11
## Mn2PSeO (PBE+U)

Data for an optimized crystal structure of Mn2PSeO.

Total moment (μB per cell): 9.1
Crystal system: tetragonal
Mass density (g cm⁻³): 4.124
Electronic total energy (eV/atom): -5.53

Cell and atoms, written as CIF:
```
data_Mn2PSeO
_chemical_formula_sum 'Mn2 P1 Se1 O1'
_symmetry_space_group_name_H-M 'P 4/m m m'
_symmetry_Int_Tables_number 123
_symmetry_space_group_name_Hall '-P 4 2'
_cell_length_a 5.035
_cell_length_b 5.035
_cell_length_c 3.745
_cell_angle_alpha 90.00
_cell_angle_beta 90.00
_cell_angle_gamma 90.00
loop_
_atom_site_label
_atom_site_type_symbol
_atom_site_fract_x
_atom_site_fract_y
_atom_site_fract_z
Mn1 Mn 0.000 0.500 0.000
P1 P 0.000 0.000 0.500
Se1 Se 0.500 0.500 0.000
O1 O 0.500 0.500 0.500
```

=====

# 12
## MnSiPO2 (PBE+U)

Data for an optimized crystal structure of MnSiPO2.

ΔE to the lowest computed polymorph (eV per atom): 0.000
Total moment (μB per cell): 4.4
Crystal system: tetragonal
Mass density (g cm⁻³): 3.855
Electronic total energy (eV/atom): -6.66

Cell and atoms, written as CIF:
```
data_MnSiPO2
_chemical_formula_sum 'Mn1 Si1 P1 O2'
_symmetry_space_group_name_H-M 'P 4/m m m'
_symmetry_Int_Tables_number 123
_symmetry_space_group_name_Hall '-P 4 2'
_cell_length_a 3.463
_cell_length_b 3.463
_cell_length_c 5.243
_cell_angle_alpha 90.00
_cell_angle_beta 90.00
_cell_angle_gamma 90.00
loop_
_atom_site_label
_atom_site_type_symbol
_atom_site_fract_x
_atom_site_fract_y
_atom_site_fract_z
Mn1 Mn 0.000 0.000 0.000
Si1 Si 0.500 0.500 0.500
P1 P 0.500 0.500 0.000
O1 O 0.000 0.500 0.500
```

=====

Which value of mass density does entry 5 give? 5.474 g cm⁻³

=====

Number 12 is which compound? MnSiPO2

=====

Which of these has the highest total moment? Mn2V3SbP6O24